Record 1
Ce5S8 | PBE-GGA | optimized geometry

Summary:
N(E_F)   31.15 states/eV/f.u.
Energy relative to the elements, uncorrected   -2305 kJ/mol of formula units
V   1642 Å³ per cell

Cell and atoms, written as CIF:
```
data_Ce5S8
_chemical_formula_sum 'Ce20 S32'
_cell_length_a 11.7967
_cell_length_b 11.7967
_cell_length_c 11.7967
_cell_angle_alpha 90.00
_cell_angle_beta 90.00
_cell_angle_gamma 90.00
_space_group_name_H-M_alt 'F -4 3 m'
_space_group_IT_number 216
_space_group_name_Hall 'F -4 2 3'
loop_
_atom_site_label
_atom_site_fract_x
_atom_site_fract_y
_atom_site_fract_z
Ce1 0.0000 0.0000 0.0000
Ce2 0.1207 0.1207 0.3793
S1 0.1113 0.1113 0.6113
S2 0.1346 0.1346 0.1346
```


Record 2
AlTcP | PBE-GGA | optimized geometry

Summary:
N(E_F)   1.39 states/eV/f.u.
Energy of formation from the pure elements   -378 meV/atom
V   44 Å³ per cell

Cell and atoms, written as CIF:
```
data_AlTcP
_chemical_formula_sum 'Al1 Tc1 P1'
_cell_length_a 2.9879
_cell_length_b 2.9879
_cell_length_c 5.7187
_cell_angle_alpha 90.00
_cell_angle_beta 90.00
_cell_angle_gamma 120.00
_space_group_name_H-M_alt 'P 3 m 1'
_space_group_IT_number 156
loop_
_space_group_symop_operation_xyz
'x,y,z'
'-y,x-y,z'
'-x+y,-x,z'
'-y,-x,z'
'-x+y,y,z'
'x,x-y,z'
loop_
_atom_site_label
_atom_site_fract_x
_atom_site_fract_y
_atom_site_fract_z
Al1 0.0000 0.0000 0.0000
Tc1 0.6667 0.3333 0.6461
P1 0.3333 0.6667 0.3619
```


Record 3
BaZrSb2 | PBE-GGA | optimized geometry

Summary:
N(E_F)   1.78 states/eV/f.u.
Energy relative to the elements, uncorrected   -168 kJ/mol of formula units
V   125 Å³ per cell

Cell and atoms, written as CIF:
```
data_BaZrSb2
_chemical_formula_sum 'Ba1 Zr1 Sb2'
_cell_length_a 5.9919
_cell_length_b 5.9919
_cell_length_c 3.4754
_cell_angle_alpha 90.00
_cell_angle_beta 90.00
_cell_angle_gamma 90.00
_space_group_name_H-M_alt 'P 4 m m'
_space_group_IT_number 99
loop_
_space_group_symop_operation_xyz
'x,y,z'
'-y,x,z'
'-x,-y,z'
'y,-x,z'
'-x,y,z'
'y,x,z'
'x,-y,z'
'-y,-x,z'
loop_
_atom_site_label
_atom_site_fract_x
_atom_site_fract_y
_atom_site_fract_z
Ba1 0.0000 0.0000 0.0000
Zr1 0.5000 0.5000 0.4933
Sb1 0.0000 0.5000 0.5020
```